1.
{"formula": "LaNd2As", "functional": "PBE-GGA", "state": "relaxed", "formation_enthalpy_0k_ev_per_atom": -0.62, "e_above_lowest_polymorph_mev_per_atom": 6, "lattice": [[4.0152, 0.0000, 0.0000], [2.0076, 3.4773, 0.0000], [2.0076, 1.1591, 9.6817]], "species": ["As", "Nd", "Nd", "La"], "fractional_positions": [[0.0000, 0.0000, 0.0000], [0.2721, 0.2721, 0.1836], [0.7279, 0.7279, 0.8164], [0.5000, 0.5000, 0.5000]]}

2.
{"formula": "Zn2W2Au", "functional": "PBE-GGA", "state": "relaxed", "formation_enthalpy_0k_ev_per_atom": 0.74, "e_above_lowest_polymorph_mev_per_atom": 112, "lattice": [[-6.6743, 2.3820, 0.7912], [-6.0985, 0.1288, -3.6929], [5.7192, -3.4653, 2.4756]], "species": ["Zn", "Zn", "W", "W", "Au"], "fractional_positions": [[0.2500, 0.7500, 0.5000], [0.7500, 0.2500, 0.5000], [0.5919, 0.5919, 0.0000], [0.4081, 0.4081, 0.0000], [0.0000, 0.0000, 0.0000]]}

3.
{"formula": "Pr2TmSc", "functional": "PBE-GGA", "state": "relaxed", "formation_enthalpy_0k_ev_per_atom": 0.04, "e_above_lowest_polymorph_mev_per_atom": 4, "lattice": [[-2.4107, -3.7229, 1.9682], [4.3356, -1.7441, 2.0112], [-0.8356, 2.7578, 4.1929]], "species": ["Pr", "Pr", "Sc", "Tm"], "fractional_positions": [[0.0000, 0.0000, 0.5000], [0.0000, 0.5000, 0.0000], [0.5000, 0.0000, 0.0000], [0.5000, 0.5000, 0.5000]]}

4.
{"formula": "Sm3ErMg2", "functional": "PBE-GGA", "state": "relaxed", "formation_enthalpy_0k_ev_per_atom": -0.05, "lattice": [[-1.4710, -2.5604, 2.3272], [3.4556, -1.2140, 0.8487], [0.5833, 8.3079, 9.5090]], "species": ["Sm", "Sm", "Sm", "Er", "Mg", "Mg"], "fractional_positions": [[0.0000, 0.0000, 0.0000], [0.0000, 0.0000, 0.6886], [0.0000, 0.0000, 0.3114], [0.5000, 0.5000, 0.5000], [0.5000, 0.5000, 0.8450], [0.5000, 0.5000, 0.1550]]}

| no. | total DFT energy (no corrections) (eV per atom) | DOS at the Fermi energy (states/eV per atom) |
| --- | --- | --- |
| 1 | -5.39 | 0.95 |
| 2 | -5.61 | 0.47 |
| 3 | -5.05 | 1.50 |
| 4 | -3.70 | 1.17 |